Entry 1:
PBE-GGA Tb2Pa3Co4, optimized geometry; D(E_F) = 18.41 states/eV per cell; final energy = -0.2817 Ha/atom; E_form = -0.3128 eV per atom
1.0
7.791 0.000 0.000
0.000 7.234 0.000
-2.224 0.000 6.255
Tb Pa Co
4 6 8
Cartesian
1.323 1.265 0.434
0.211 2.352 3.561
5.356 4.882 2.693
4.244 5.969 5.821
1.285 4.784 1.497
0.173 6.067 4.625
2.784 0.000 3.127
3.896 3.617 0.000
5.394 1.167 1.630
4.282 2.450 4.757
-1.295 4.052 5.409
-0.183 6.799 2.282
2.359 4.478 4.017
3.471 6.373 0.890
2.096 0.861 5.365
3.208 2.756 2.237
5.750 0.435 3.973
6.862 3.182 0.845

=====

Entry 2:
PBE-GGA Mn4GePtN, optimized geometry; D(E_F) = 9.39 states/eV per cell; final energy = -0.2982 Ha/atom; energy relative to the elements, uncorrected = -1.14 eV per formula unit
1.0
2.761 -6.334 0.000
2.761 6.334 0.000
0.000 0.000 5.434
Mn Ge Pt N
8 2 2 2
Cartesian
1.381 3.167 0.000
1.381 3.167 2.717
2.761 5.208 4.075
2.761 1.123 4.075
1.381 -3.167 0.000
1.381 -3.167 2.717
2.761 -1.123 1.358
2.761 -5.208 1.358
2.761 4.958 1.358
2.761 -4.958 4.075
2.761 1.357 1.358
2.761 -1.357 4.075
2.761 3.206 4.075
2.761 -3.206 1.358

=====

Entry 3:
PBE-GGA BaScMo2, optimized geometry; D(E_F) = 10.52 states/eV per cell; final energy = -0.2354 Ha/atom; E_form = 1.0736 eV per atom
1.0
3.384 0.000 0.000
0.000 4.800 0.000
0.000 0.000 10.372
Ba Sc Mo
2 2 4
Cartesian
0.000 0.000 0.000
1.692 2.400 5.186
0.000 0.000 5.186
1.692 2.400 0.000
0.000 2.400 2.508
0.000 2.400 7.864
1.692 0.000 2.678
1.692 0.000 7.695

=====

Entry 4:
PBE-GGA AcPm2OsO8, optimized geometry; D(E_F) = 4.16 states/eV per cell; final energy = -0.2873 Ha/atom; energy relative to the elements, uncorrected = -29.31 eV per formula unit
1.0
3.650 -3.729 0.000
3.650 3.729 0.000
0.000 0.000 7.152
Ac Pm Os O
1 2 1 8
Cartesian
0.000 0.000 0.000
3.650 0.000 1.793
3.650 0.000 5.359
0.000 0.000 3.576
1.337 0.000 2.180
1.337 0.000 4.972
3.650 1.850 3.576
3.650 1.348 0.000
3.650 -1.348 0.000
3.650 -1.850 3.576
5.963 0.000 2.180
5.963 0.000 4.972

=====

Entry 5:
PBE-GGA CaLaAs2Se, optimized geometry; D(E_F) = 6.54 states/eV per cell; final energy = -0.1581 Ha/atom; energy relative to the elements, uncorrected = -1.80 eV per formula unit
1.0
5.602 0.000 0.000
0.000 5.602 0.000
0.000 0.000 5.670
Ca La As Se
1 1 2 1
Cartesian
0.000 0.000 0.000
2.801 2.801 2.835
0.000 2.801 2.835
2.801 0.000 2.835
2.801 2.801 0.000

=====

Entry 6:
PBE-GGA TbHoMo2N6, optimized geometry; D(E_F) = 0.00 states/eV per cell; final energy = -0.3301 Ha/atom; energy relative to the elements, uncorrected = -9.02 eV per formula unit
1.0
5.602 -4.789 0.000
5.602 4.789 0.000
-2.423 0.000 5.824
Tb Ho Mo N
2 2 4 12
Cartesian
3.784 3.934 4.368
4.996 -3.934 1.456
4.996 1.998 1.456
3.784 -1.998 4.368
1.363 0.859 4.533
2.574 -0.859 1.621
6.206 0.859 4.204
7.417 -0.859 1.291
3.535 3.726 2.001
2.103 2.438 4.902
6.456 3.726 0.912
3.788 0.128 0.446
2.576 -0.128 3.358
5.466 2.438 3.834
3.314 -2.438 1.990
6.204 0.128 2.466
4.992 -0.128 5.378
2.324 -3.726 4.913
6.677 -2.438 0.922
5.245 -3.726 3.824

=====

Entry 7:
PBE-GGA KCd2Si, optimized geometry; D(E_F) = 2.64 states/eV per cell; final energy = -0.0637 Ha/atom; energy relative to the elements, uncorrected = 1.42 eV per formula unit
1.0
6.598 0.000 0.000
0.000 11.755 0.000
-1.191 0.000 2.577
K Cd Si
2 4 2
Cartesian
0.000 0.000 0.000
3.299 5.877 0.000
1.054 2.939 1.288
1.054 8.816 1.288
4.353 2.939 1.288
4.353 8.816 1.288
0.000 5.877 0.000
3.299 0.000 0.000

=====

Entry 8:
PBE-GGA TbPrHo2Bi4, optimized geometry; D(E_F) = 1.23 states/eV per cell; final energy = -0.1887 Ha/atom; E_form = -0.8723 eV per atom
1.0
7.817 0.000 0.000
0.000 4.519 0.000
-2.609 0.000 7.373
Tb Pr Ho Bi
1 1 2 4
Cartesian
0.000 0.000 0.000
-1.305 2.260 3.687
2.604 0.000 3.687
3.909 2.260 0.000
1.352 2.260 1.825
0.046 0.000 5.583
5.162 0.000 1.790
3.856 2.260 5.548

=====

Entry 9:
PBE-GGA HfPd2Cl, optimized geometry; D(E_F) = 24.34 states/eV per cell; final energy = -0.2075 Ha/atom; energy relative to the elements, uncorrected = -0.40 eV per formula unit
1.0
6.597 0.000 0.000
0.000 6.597 0.000
0.000 0.000 6.597
Hf Pd Cl
4 8 4
Cartesian
0.000 0.000 0.000
0.000 3.299 3.299
3.299 0.000 3.299
3.299 3.299 0.000
1.649 1.649 1.649
1.649 1.649 4.948
1.649 4.948 1.649
1.649 4.948 4.948
4.948 1.649 1.649
4.948 1.649 4.948
4.948 4.948 1.649
4.948 4.948 4.948
0.000 0.000 3.299
0.000 3.299 0.000
3.299 0.000 0.000
3.299 3.299 3.299

=====

Entry 10:
PBE-GGA Ce12Th3Ga, optimized geometry; D(E_F) = 35.41 states/eV per cell; final energy = -0.2232 Ha/atom; E_form = -0.0441 eV per atom
1.0
4.755 0.000 0.000
0.000 4.755 0.000
0.000 0.000 19.190
Ce Th Ga
12 3 1
Cartesian
0.000 0.000 0.000
0.000 0.000 4.772
0.000 0.000 9.595
0.000 0.000 14.417
0.000 2.377 2.263
0.000 2.377 7.168
0.000 2.377 12.022
0.000 2.377 16.927
2.377 0.000 2.263
2.377 0.000 7.168
2.377 0.000 12.022
2.377 0.000 16.927
2.377 2.377 4.712
2.377 2.377 9.595
2.377 2.377 14.478
2.377 2.377 0.000

=====

Entry 11:
PBE-GGA TbY3Er6, optimized geometry; D(E_F) = 29.57 states/eV per cell; final energy = -0.1837 Ha/atom; E_form = 0.1418 eV per atom
1.0
5.496 -9.440 0.000
5.496 9.440 0.000
0.000 0.000 6.129
Tb Y Er
2 6 12
Cartesian
5.496 5.496 3.065
5.496 -5.496 0.000
1.882 2.047 1.881
1.882 -2.047 4.946
5.496 2.060 2.554
5.496 -2.060 5.618
9.109 2.047 1.881
9.109 -2.047 4.946
2.731 3.985 4.373
5.496 8.526 1.686
5.496 4.075 6.051
3.689 0.899 5.378
3.689 -0.899 2.314
2.731 -3.985 1.308
8.260 3.985 4.373
7.302 0.899 5.378
7.302 -0.899 2.314
5.496 -4.075 2.987
5.496 -8.526 4.751
8.260 -3.985 1.308

=====

Entry 12:
PBE-GGA PuPaInBi, optimized geometry; D(E_F) = 64.73 states/eV per cell; final energy = -0.2798 Ha/atom; E_form = -0.0027 eV per atom
1.0
7.632 0.000 0.000
0.000 7.632 0.000
0.000 0.000 7.632
Pu Pa In Bi
4 4 4 4
Cartesian
0.000 0.000 0.000
0.000 3.816 3.816
3.816 0.000 3.816
3.816 3.816 0.000
0.000 0.000 3.816
0.000 3.816 0.000
3.816 0.000 0.000
3.816 3.816 3.816
1.908 1.908 1.908
1.908 5.724 5.724
5.724 1.908 5.724
5.724 5.724 1.908
1.908 1.908 5.724
1.908 5.724 1.908
5.724 1.908 1.908
5.724 5.724 5.724

=====

Entry 13:
PBE-GGA Ta2Rh, optimized geometry; D(E_F) = 2.34 states/eV per cell; final energy = -0.3725 Ha/atom; E_form = 0.2159 eV per atom
1.0
0.000 3.753 3.753
3.753 0.000 3.753
3.753 3.753 0.000
Ta Rh
4 2
Cartesian
0.000 0.000 0.000
1.877 1.877 0.000
1.877 0.000 1.877
0.000 1.877 1.877
2.815 2.815 2.815
4.692 4.692 4.692

=====

Entry 14:
PBE-GGA CePrAu, optimized geometry; D(E_F) = 12.25 states/eV per cell; final energy = -0.1843 Ha/atom; E_form = -0.3504 eV per atom
1.0
5.522 0.000 0.000
2.761 4.786 0.000
0.031 0.026 6.166
Ce Pr Au
2 2 2
Cartesian
0.000 0.000 0.000
0.015 0.013 3.083
2.769 1.605 1.541
5.545 3.206 4.625
2.784 1.611 4.624
5.530 3.201 1.542

=====

Entry 15:
PBE-GGA Lu2Si3Pd, optimized geometry; D(E_F) = 2.89 states/eV per cell; final energy = -0.2157 Ha/atom; energy relative to the elements, uncorrected = -4.72 eV per formula unit
1.0
3.817 0.000 0.000
0.000 4.186 0.000
0.000 0.000 6.959
Lu Si Pd
2 3 1
Cartesian
0.000 0.000 0.000
0.000 2.093 3.374
1.909 0.000 2.252
1.909 2.093 1.112
1.909 2.093 5.745
1.909 0.000 4.608

=====

Entry 16:
PBE-GGA SbAsC, optimized geometry; D(E_F) = 0.63 states/eV per cell; final energy = -0.1978 Ha/atom; energy relative to the elements, uncorrected = 1.84 eV per formula unit
1.0
3.180 0.000 0.000
-1.590 2.754 0.000
0.000 0.000 6.707
Sb As C
1 1 1
Cartesian
0.000 0.000 0.000
0.000 1.836 3.145
0.000 0.000 2.234

=====

Entry 17:
PBE-GGA Ta2CoPt, optimized geometry; D(E_F) = 2.69 states/eV per cell; final energy = -0.3525 Ha/atom; E_form = -0.3796 eV per atom
1.0
3.944 0.000 0.000
0.000 3.944 0.000
0.000 0.000 3.958
Ta Co Pt
2 1 1
Cartesian
0.000 1.972 0.000
1.972 0.000 0.000
0.000 0.000 1.979
1.972 1.972 1.979

=====

Entry 18:
PBE-GGA RbSi, optimized geometry; final energy = -0.1094 Ha/atom; energy relative to the elements, uncorrected = 0.44 eV per formula unit
1.0
12.734 0.000 0.000
0.000 5.169 0.000
-0.714 0.000 5.182
Rb Si
4 4
Cartesian
1.638 0.000 1.055
4.015 2.585 4.127
8.006 2.585 1.055
10.382 0.000 4.127
0.342 2.585 3.407
5.311 0.000 1.775
6.709 0.000 3.407
11.678 2.585 1.775

=====

Entry 19:
PBE-GGA Ce3DyHo2N6, optimized geometry; D(E_F) = 7.13 states/eV per cell; final energy = -0.3086 Ha/atom; energy relative to the elements, uncorrected = -19.25 eV per formula unit
1.0
3.041 -5.267 0.000
3.041 5.267 0.000
-2.028 0.000 5.744
Ce Dy Ho N
3 1 2 6
Cartesian
0.000 0.000 0.000
3.041 1.756 0.000
3.041 -1.756 0.000
2.027 0.000 2.872
2.027 3.512 2.872
2.027 -3.512 2.872
1.010 1.762 1.454
-0.008 0.000 4.289
1.010 -1.762 1.454
3.045 1.762 4.290
4.062 0.000 1.455
3.045 -1.762 4.290

=====

Entry 20:
PBE-GGA P2S, optimized geometry; D(E_F) = 0.06 states/eV per cell; final energy = -0.1755 Ha/atom; energy relative to the elements, uncorrected = 0.62 eV per formula unit
1.0
3.342 0.000 0.000
0.673 3.320 0.000
0.025 0.072 6.564
P S
2 1
Cartesian
0.000 0.000 0.000
2.329 3.361 5.173
2.067 1.902 3.772